Record 1
# BaReSi2N

An optimized crystal structure of BaReSi2N (PBE, Alexandria via LeMat-Bulk).

Computed properties:
Uncorrected formation energy (kJ/mol of formula units): 434

a b c (Å): 4.5912 4.5912 6.3117
angles (deg): 90.00 90.00 90.00
Last column: nearest neighbours and their distance in Å.
Space group P4/mmm (No. 123)
Unique sites:
Ba  0.0000  0.0000  0.0000 [1 per cell]  2 Re 3.16, 4 N 3.25
Re  0.0000  0.0000  0.5000 [1 per cell]  4 Si 2.30
Si  0.0000  0.5000  0.5000 [2 per cell]  2 Re 2.30
N  0.5000  0.5000  0.0000 [1 per cell]  4 Ba 3.25



Record 2
# Ba2SmRe2N6

An optimized crystal structure of Ba2SmRe2N6 (PBE, Alexandria via LeMat-Bulk).

Computed properties:
Uncorrected formation energy (kJ/mol of formula units): -784

a b c (Å): 10.9400 6.2257 7.3551
angles (deg): 90.00 123.63 90.00
Last column: nearest neighbours and their distance in Å.
Space group C2/m (No. 12)
Unique sites:
Ba  0.2145  0.0000  0.1894 [4 per cell]  5 N 2.86-3.04
Sm  0.0000  0.0000  0.5000 [2 per cell]  6 N 2.41-2.49
Re  0.0366  0.5000  0.2003 [4 per cell]  3 N 1.80-1.82
N  0.0499  0.2612  0.7756 [8 per cell]  1 Re 1.82
N  0.2341  0.5000  0.3596 [4 per cell]  1 Re 1.80



Record 3
# BaSmReN4

An optimized crystal structure of BaSmReN4 (PBE, Alexandria via LeMat-Bulk).

Computed properties:
Uncorrected formation energy (kJ/mol of formula units): -582

a b c (Å): 6.0631 5.9955 7.4815
angles (deg): 90.00 106.64 90.00
Last column: nearest neighbours and their distance in Å.
Space group P2_1/m (No. 11)
Unique sites:
Ba  0.2166  0.2500  0.4272 [2 per cell]  4 N 2.74-2.91
Sm  0.2940  0.2500  0.9541 [2 per cell]  6 N 2.40-2.65
Re  0.2476  0.7500  0.1697 [2 per cell]  4 N 1.80-1.85
N  0.0582  0.7500  0.9349 [2 per cell]  1 Re 1.80
N  0.0596  0.7500  0.3237 [2 per cell]  1 Re 1.84
N  0.4460  0.5095  0.2039 [4 per cell]  1 Re 1.85



Record 4
# BaSm2ReN4

An optimized crystal structure of BaSm2ReN4 (PBE, Alexandria via LeMat-Bulk).

Computed properties:
Uncorrected formation energy (kJ/mol of formula units): -687

a b c (Å): 3.5503 12.6430 12.4228
angles (deg): 90.00 90.00 90.00
Last column: nearest neighbours and their distance in Å.
Space group Cmcm (No. 63)
Unique sites:
Ba  0.0000  0.0646  0.2500 [4 per cell]  4 N 2.88-3.21
Sm  0.0000  0.3710  0.0404 [8 per cell]  6 N 2.39-2.61
Re  0.0000  0.1949  0.7500 [4 per cell]  4 N 1.88-2.05
N  0.0000  0.0000  0.0000 [4 per cell]  4 Sm 2.46
N  0.0000  0.2571  0.6129 [8 per cell]  1 Re 1.88
N  0.0000  0.3856  0.2500 [4 per cell]  2 Re 2.05